#i
Density functional theory data (PBE) for crystalline Nd6Dy8Er at its relaxed geometry.

```
data_Nd6Dy8Er
_chemical_formula_sum 'Nd6 Dy8 Er1'
_cell_length_a 8.726
_cell_length_b 8.726
_cell_length_c 8.726
_cell_angle_alpha 63.06
_cell_angle_beta 63.06
_cell_angle_gamma 63.06
_symmetry_space_group_name_H-M 'P 1'
_symmetry_Int_Tables_number 1
_symmetry_space_group_name_Hall 'P 1'
loop_
_atom_site_label
_atom_site_type_symbol
_atom_site_fract_x
_atom_site_fract_y
_atom_site_fract_z
Nd1 Nd 0.039 0.729 0.603
Nd2 Nd 0.271 0.397 0.961
Nd3 Nd 0.397 0.961 0.271
Nd4 Nd 0.603 0.039 0.729
Nd5 Nd 0.729 0.603 0.039
Nd6 Nd 0.961 0.271 0.397
Dy1 Dy 0.077 0.077 0.077
Dy2 Dy 0.218 0.249 0.612
Dy3 Dy 0.249 0.612 0.218
Dy4 Dy 0.388 0.782 0.751
Dy5 Dy 0.612 0.218 0.249
Dy6 Dy 0.751 0.388 0.782
Dy7 Dy 0.782 0.751 0.388
Dy8 Dy 0.923 0.923 0.923
Er1 Er 0.500 0.500 0.500
```

Results
Magnetic moment = 0.00 μB per formula unit
Theoretical density = 7.72 Mg/m³

***

#ii
Density functional theory data (PBE) for crystalline Nd6Dy8Er at its relaxed geometry.

```
data_Nd6Dy8Er
_chemical_formula_sum 'Nd6 Dy8 Er1'
_cell_length_a 9.402
_cell_length_b 9.402
_cell_length_c 6.544
_cell_angle_alpha 90.00
_cell_angle_beta 90.00
_cell_angle_gamma 120.00
_symmetry_space_group_name_H-M 'P 1'
_symmetry_Int_Tables_number 1
_symmetry_space_group_name_Hall 'P 1'
loop_
_atom_site_label
_atom_site_type_symbol
_atom_site_fract_x
_atom_site_fract_y
_atom_site_fract_z
Nd1 Nd 0.034 0.747 0.166
Nd2 Nd 0.253 0.287 0.166
Nd3 Nd 0.287 0.034 0.834
Nd4 Nd 0.713 0.966 0.166
Nd5 Nd 0.747 0.713 0.834
Nd6 Nd 0.966 0.253 0.834
Dy1 Dy 0.094 0.656 0.658
Dy2 Dy 0.333 0.667 0.121
Dy3 Dy 0.344 0.438 0.658
Dy4 Dy 0.438 0.094 0.342
Dy5 Dy 0.562 0.906 0.658
Dy6 Dy 0.656 0.562 0.342
Dy7 Dy 0.667 0.333 0.879
Dy8 Dy 0.906 0.344 0.342
Er1 Er 0.000 0.000 0.500
```

Results
Magnetic moment = 0.00 μB per formula unit
Theoretical density = 7.73 Mg/m³

***

Which structure is the least stable? The one labeled #ii.

***

#i
Density functional theory data (PBE) for crystalline Nd2DyEr5 at its relaxed geometry.

```
data_Nd2DyEr5
_chemical_formula_sum 'Nd4 Dy2 Er10'
_cell_length_a 7.108
_cell_length_b 14.217
_cell_length_c 5.022
_cell_angle_alpha 90.00
_cell_angle_beta 90.00
_cell_angle_gamma 90.00
_symmetry_space_group_name_H-M 'P 1'
_symmetry_Int_Tables_number 1
_symmetry_space_group_name_Hall 'P 1'
loop_
_atom_site_label
_atom_site_type_symbol
_atom_site_fract_x
_atom_site_fract_y
_atom_site_fract_z
Nd1 Nd 0.250 0.125 0.000
Nd2 Nd 0.250 0.625 0.000
Nd3 Nd 0.750 0.375 0.000
Nd4 Nd 0.750 0.875 0.000
Dy1 Dy 0.000 0.000 0.500
Dy2 Dy 0.500 0.500 0.500
Er1 Er 0.000 0.250 0.500
Er2 Er 0.000 0.500 0.500
Er3 Er 0.000 0.750 0.500
Er4 Er 0.250 0.375 0.000
Er5 Er 0.250 0.875 0.000
Er6 Er 0.500 0.000 0.500
Er7 Er 0.500 0.250 0.500
Er8 Er 0.500 0.750 0.500
Er9 Er 0.750 0.125 0.000
Er10 Er 0.750 0.625 0.000
```

Results
Magnetic moment = 0.00 μB per formula unit
Theoretical density = 8.42 Mg/m³

***

#ii
Density functional theory data (PBE) for crystalline Nd2DyEr5 at its relaxed geometry.

```
data_Nd2DyEr5
_chemical_formula_sum 'Nd4 Dy2 Er10'
_cell_length_a 6.056
_cell_length_b 8.981
_cell_length_c 10.365
_cell_angle_alpha 107.22
_cell_angle_beta 99.57
_cell_angle_gamma 99.00
_symmetry_space_group_name_H-M 'P 1'
_symmetry_Int_Tables_number 1
_symmetry_space_group_name_Hall 'P 1'
loop_
_atom_site_label
_atom_site_type_symbol
_atom_site_fract_x
_atom_site_fract_y
_atom_site_fract_z
Nd1 Nd 0.009 0.143 0.283
Nd2 Nd 0.295 0.819 0.190
Nd3 Nd 0.705 0.181 0.810
Nd4 Nd 0.991 0.857 0.717
Dy1 Dy 0.000 0.500 0.500
Dy2 Dy 0.500 0.500 0.000
Er1 Er 0.039 0.572 0.860
Er2 Er 0.156 0.196 0.641
Er3 Er 0.296 0.128 0.026
Er4 Er 0.409 0.835 0.544
Er5 Er 0.468 0.462 0.325
Er6 Er 0.532 0.538 0.675
Er7 Er 0.591 0.165 0.456
Er8 Er 0.704 0.872 0.974
Er9 Er 0.844 0.804 0.359
Er10 Er 0.961 0.428 0.140
```

Results
Magnetic moment = 0.00 μB per formula unit
Theoretical density = 8.25 Mg/m³

***

Which structure is the least stable? The one labeled #ii.